No. 1
# Al2CrIn

A relaxed structure of Al2CrIn (PBE-GGA, the Alexandria database).

a b c (Å): 5.5933 8.1520 3.0989
angles (deg): 90.00 90.00 90.00
Space group Cmmm (No. 65)
Unique sites:
Al: 0.2500 0.2500 0.0000 (multiplicity 4)
Cr: 0.0000 0.0000 0.5000 (multiplicity 2)
In: 0.0000 0.5000 0.5000 (multiplicity 2)

Results
- Magnetic moment: 0.790 μB per atom
- Calculated density: 5189 kg/m³
- D(E_F): 0.54 states/eV/atom
- E_form: 0.21 eV per atom


No. 2
# Al2CrIn

A relaxed structure of Al2CrIn (PBE-GGA, the Alexandria database).

a b c (Å): 2.9608 2.9608 8.1116
angles (deg): 90.00 90.00 90.00
Space group P4mm (No. 99)
Unique sites:
Al: 0.0000 0.0000 0.0000 (multiplicity 1)
Al: 0.5000 0.5000 0.2506 (multiplicity 1)
Cr: 0.0000 0.0000 0.4487 (multiplicity 1)
In: 0.5000 0.5000 0.6977 (multiplicity 1)

Results
- Magnetic moment: 0.740 μB per atom
- Calculated density: 5156 kg/m³
- D(E_F): 0.58 states/eV/atom
- E_form: 0.19 eV per atom


No. 3
# Al2CrIn

A relaxed structure of Al2CrIn (PBE-GGA, the Alexandria database).

a b c (Å): 5.5892 5.5983 8.4591
angles (deg): 90.00 90.00 90.00
Space group F222 (No. 22)
Unique sites:
Al: 0.0000 0.0000 0.0000 (multiplicity 4)
Al: 0.2500 0.2500 0.2500 (multiplicity 4)
Cr: 0.0000 0.0000 0.5000 (multiplicity 4)
In: 0.2500 0.2500 0.7500 (multiplicity 4)

Results
- Magnetic moment: 0.489 μB per atom
- Calculated density: 5540 kg/m³
- D(E_F): 0.52 states/eV/atom
- E_form: 0.12 eV per atom


No. 4
# Al2CrIn

A relaxed structure of Al2CrIn (PBE-GGA, the Alexandria database).

a b c (Å): 3.9363 3.9363 8.4337
angles (deg): 90.00 90.00 90.00
Space group I4/mmm (No. 139)
Unique sites:
Al: 0.0000 0.5000 0.2500 (multiplicity 4)
Cr: 0.0000 0.0000 0.0000 (multiplicity 2)
In: 0.0000 0.0000 0.5000 (multiplicity 2)

Results
- Magnetic moment: 0.342 μB per atom
- Calculated density: 5611 kg/m³
- D(E_F): 0.58 states/eV/atom
- E_form: 0.13 eV per atom


No. 5
# Al2CrIn

A relaxed structure of Al2CrIn (PBE-GGA, the Alexandria database).

a b c (Å): 2.9825 2.9825 27.1299
angles (deg): 90.00 90.00 120.00
Space group R-3m (No. 166, hexagonal axes)
Unique sites:
Al: 0.0000 0.0000 0.2387 (multiplicity 6)
Cr: 0.0000 0.0000 0.5000 (multiplicity 3)
In: 0.0000 0.0000 0.0000 (multiplicity 3)

Results
- Magnetic moment: 0.462 μB per atom
- Calculated density: 5263 kg/m³
- D(E_F): 0.39 states/eV/atom
- E_form: 0.18 eV per atom


No. 6
# AlCrIn4

A relaxed structure of AlCrIn4 (PBE-GGA, the Alexandria database).

a b c (Å): 8.4961 8.4961 8.4961
angles (deg): 90.00 90.00 90.00
Space group F-43m (No. 216)
Unique sites:
Al: 0.0000 0.0000 0.0000 (multiplicity 4)
Cr: 0.2500 0.2500 0.7500 (multiplicity 4)
In: 0.1249 0.1249 0.3751 (multiplicity 16)

Results
- Magnetic moment: 0.719 μB per atom
- Calculated density: 5829 kg/m³
- D(E_F): 0.58 states/eV/atom
- E_form: 0.54 eV per atom